[1]
! PBE KTbNpO6, relaxed; values from VASP
&SYSTEM
  ibrav = 0, nat = 18, ntyp = 4
/
ATOMIC_SPECIES
K 39.10 K.upf
Tb 158.93 Tb.upf
Np 237.00 Np.upf
O 16.00 O.upf
CELL_PARAMETERS angstrom
5.3694 0.0000 0.0000
0.0000 5.3694 0.0000
0.0000 0.0000 10.5535
ATOMIC_POSITIONS crystal
K 0.0000 0.0000 0.0000
K 0.5000 0.5000 0.5000
Tb 0.0000 0.0000 0.6688
Tb 0.5000 0.5000 0.1688
Np 0.0000 0.0000 0.3369
Np 0.5000 0.5000 0.8369
O 0.1643 0.1643 0.4848
O 0.2029 0.2029 0.2126
O 0.2330 0.2330 0.8087
O 0.2670 0.7330 0.3087
O 0.2971 0.7029 0.7126
O 0.3357 0.6643 0.9848
O 0.6643 0.3357 0.9848
O 0.7029 0.2971 0.7126
O 0.7330 0.2670 0.3087
O 0.7670 0.7670 0.8087
O 0.7971 0.7971 0.2126
O 0.8357 0.8357 0.4848
! ΔE_f (raw) = -2.452 eV/atom
! Total magnetic moment = 2.1 μB/cell
! Space group = P4_2nm, No. 102
! Volume = 304 Å³ per cell
! Crystal system = tetragonal

[2]
! PBE K4TbNp3O12, relaxed; values from VASP
&SYSTEM
  ibrav = 0, nat = 20, ntyp = 4
/
ATOMIC_SPECIES
K 39.10 K.upf
Tb 158.93 Tb.upf
Np 237.00 Np.upf
O 16.00 O.upf
CELL_PARAMETERS angstrom
-4.3009 4.3009 4.3009
4.3009 -4.3009 4.3009
4.3009 4.3009 -4.3009
ATOMIC_POSITIONS crystal
K 0.0000 0.0000 0.5000
K 0.0000 0.5000 0.0000
K 0.5000 0.0000 0.0000
K 0.5000 0.5000 0.5000
Tb 0.0000 0.0000 0.0000
Np 0.0000 0.5000 0.5000
Np 0.5000 0.0000 0.5000
Np 0.5000 0.5000 0.0000
O 0.0000 0.2661 0.2661
O 0.0000 0.7339 0.7339
O 0.2500 0.5000 0.7500
O 0.2500 0.7500 0.5000
O 0.2661 0.0000 0.2661
O 0.2661 0.2661 0.0000
O 0.5000 0.2500 0.7500
O 0.5000 0.7500 0.2500
O 0.7339 0.0000 0.7339
O 0.7339 0.7339 0.0000
O 0.7500 0.2500 0.5000
O 0.7500 0.5000 0.2500
! ΔE_f (raw) = -2.734 eV/atom
! Total magnetic moment = 4.0 μB/cell
! Space group = Im-3m, No. 229
! Volume = 318 Å³ per cell
! Crystal system = cubic

[3]
! PBE K2NpTc3O12, relaxed; values from VASP
&SYSTEM
  ibrav = 0, nat = 18, ntyp = 4
/
ATOMIC_SPECIES
K 39.10 K.upf
Np 237.00 Np.upf
Tc 98.00 Tc.upf
O 16.00 O.upf
CELL_PARAMETERS angstrom
3.6388 2.1009 6.2079
-3.6388 2.1009 6.2079
0.0000 -4.2017 6.2079
ATOMIC_POSITIONS crystal
K 0.1388 0.1388 0.1388
K 0.8612 0.8612 0.8612
Np 0.5000 0.5000 0.5000
Tc 0.0000 0.5000 0.5000
Tc 0.5000 0.0000 0.5000
Tc 0.5000 0.5000 0.0000
O 0.1652 0.5755 0.5755
O 0.1974 0.1974 0.5674
O 0.1974 0.5674 0.1974
O 0.4245 0.4245 0.8348
O 0.4245 0.8348 0.4245
O 0.4326 0.8026 0.8026
O 0.5674 0.1974 0.1974
O 0.5755 0.1652 0.5755
O 0.5755 0.5755 0.1652
O 0.8026 0.4326 0.8026
O 0.8026 0.8026 0.4326
O 0.8348 0.4245 0.4245
! ΔE_f (raw) = -1.787 eV/atom
! Total magnetic moment = 2.4 μB/cell
! Space group = R-3m, No. 166
! Volume = 285 Å³ per cell
! Crystal system = trigonal

[4]
! PBE KNpTcO6, relaxed; values from VASP
&SYSTEM
  ibrav = 0, nat = 18, ntyp = 4
/
ATOMIC_SPECIES
K 39.10 K.upf
Np 237.00 Np.upf
Tc 98.00 Tc.upf
O 16.00 O.upf
CELL_PARAMETERS angstrom
-3.6455 3.8896 5.3280
3.6455 -3.8896 5.3280
3.6455 3.8896 -5.3280
ATOMIC_POSITIONS crystal
K 0.3750 0.1250 0.2500
K 0.6250 0.8750 0.7500
Np 0.0000 0.5000 0.5000
Np 0.5000 0.5000 0.0000
Tc 0.0000 0.0000 0.5000
Tc 0.0000 0.5000 0.0000
O 0.0415 0.7915 0.2500
O 0.0544 0.4201 0.2275
O 0.0544 0.8269 0.6343
O 0.3074 0.1731 0.7275
O 0.3074 0.5799 0.1343
O 0.3296 0.5796 0.7500
O 0.6704 0.4204 0.2500
O 0.6926 0.4201 0.8657
O 0.6926 0.8269 0.2725
O 0.9456 0.1731 0.3657
O 0.9456 0.5799 0.7725
O 0.9585 0.2085 0.7500
! ΔE_f (raw) = -2.097 eV/atom
! Total magnetic moment = 4.2 μB/cell
! Space group = Imma, No. 74
! Volume = 302 Å³ per cell
! Crystal system = orthorhombic

[5]
! PBE KNp2TcO8, relaxed; values from VASP
&SYSTEM
  ibrav = 0, nat = 12, ntyp = 4
/
ATOMIC_SPECIES
K 39.10 K.upf
Np 237.00 Np.upf
Tc 98.00 Tc.upf
O 16.00 O.upf
CELL_PARAMETERS angstrom
4.9918 0.0000 0.0000
0.2092 4.9976 0.0000
0.0940 0.0858 6.9620
ATOMIC_POSITIONS crystal
K 0.0000 0.0000 0.0000
Np 0.4939 0.4938 0.2569
Np 0.5061 0.5062 0.7431
Tc 0.0000 0.0000 0.5000
O 0.2055 0.7943 0.6992
O 0.2086 0.7972 0.3006
O 0.2884 0.2907 0.4973
O 0.3333 0.3387 0.9795
O 0.6667 0.6613 0.0205
O 0.7116 0.7093 0.5027
O 0.7914 0.2028 0.6994
O 0.7945 0.2057 0.3008
! ΔE_f (raw) = -2.245 eV/atom
! Total magnetic moment = 6.0 μB/cell
! Space group = P-1, No. 2
! Volume = 174 Å³ per cell
! Crystal system = triclinic

[6]
! PBE K2NpTcO6, relaxed; values from VASP
&SYSTEM
  ibrav = 0, nat = 10, ntyp = 4
/
ATOMIC_SPECIES
K 39.10 K.upf
Np 237.00 Np.upf
Tc 98.00 Tc.upf
O 16.00 O.upf
CELL_PARAMETERS angstrom
0.0000 4.1184 4.1184
4.1184 0.0000 4.1184
4.1184 4.1184 0.0000
ATOMIC_POSITIONS crystal
K 0.2500 0.2500 0.2500
K 0.7500 0.7500 0.7500
Np 0.0000 0.0000 0.0000
Tc 0.5000 0.5000 0.5000
O 0.2558 0.2558 0.7442
O 0.2558 0.7442 0.2558
O 0.2558 0.7442 0.7442
O 0.7442 0.2558 0.2558
O 0.7442 0.2558 0.7442
O 0.7442 0.7442 0.2558
! ΔE_f (raw) = -2.144 eV/atom
! Total magnetic moment = 3.9 μB/cell
! Space group = Fm-3m, No. 225
! Volume = 140 Å³ per cell
! Crystal system = cubic

[7]
! PBE KNp2TeO8, relaxed; values from VASP
&SYSTEM
  ibrav = 0, nat = 12, ntyp = 4
/
ATOMIC_SPECIES
K 39.10 K.upf
Np 237.00 Np.upf
Te 127.60 Te.upf
O 16.00 O.upf
CELL_PARAMETERS angstrom
3.5729 -3.7170 0.0000
3.5729 3.7170 0.0000
0.0000 0.0000 7.0028
ATOMIC_POSITIONS crystal
K 0.0000 0.0000 0.0000
Np 0.5000 0.5000 0.2514
Np 0.5000 0.5000 0.7486
Te 0.0000 0.0000 0.5000
O 0.2185 0.2185 0.2855
O 0.2185 0.2185 0.7145
O 0.3046 0.6954 0.5000
O 0.3370 0.6630 0.0000
O 0.6630 0.3370 0.0000
O 0.6954 0.3046 0.5000
O 0.7815 0.7815 0.2855
O 0.7815 0.7815 0.7145
! ΔE_f (raw) = -2.162 eV/atom
! Total magnetic moment = 3.0 μB/cell
! Space group = Cmmm, No. 65
! Volume = 186 Å³ per cell
! Crystal system = orthorhombic

[8]
! PBE KNpTeO5, relaxed; values from VASP
&SYSTEM
  ibrav = 0, nat = 16, ntyp = 4
/
ATOMIC_SPECIES
K 39.10 K.upf
Np 237.00 Np.upf
Te 127.60 Te.upf
O 16.00 O.upf
CELL_PARAMETERS angstrom
3.2998 -5.7032 0.0000
3.2998 5.7032 0.0000
-1.9836 0.0000 7.8689
ATOMIC_POSITIONS crystal
K 0.1536 0.8464 0.7500
K 0.8464 0.1536 0.2500
Np 0.5000 0.5000 0.0000
Np 0.5000 0.5000 0.5000
Te 0.1784 0.8216 0.2500
Te 0.8216 0.1784 0.7500
O 0.0868 0.2278 0.9090
O 0.2278 0.0868 0.4090
O 0.2496 0.5386 0.5412
O 0.4396 0.5604 0.2500
O 0.4614 0.7504 0.9588
O 0.5386 0.2496 0.0412
O 0.5604 0.4396 0.7500
O 0.7504 0.4614 0.4588
O 0.7722 0.9132 0.5910
O 0.9132 0.7722 0.0910
! ΔE_f (raw) = -1.963 eV/atom
! Total magnetic moment = 3.8 μB/cell
! Space group = C2/c, No. 15
! Volume = 296 Å³ per cell
! Crystal system = monoclinic

[9]
! PBE K2NpTeO2, relaxed; values from VASP
&SYSTEM
  ibrav = 0, nat = 6, ntyp = 4
/
ATOMIC_SPECIES
K 39.10 K.upf
Np 237.00 Np.upf
Te 127.60 Te.upf
O 16.00 O.upf
CELL_PARAMETERS angstrom
4.4434 0.0000 0.0000
0.0000 4.4434 0.0000
0.0000 0.0000 6.7548
ATOMIC_POSITIONS crystal
K 0.0000 0.0000 0.2317
K 0.0000 0.0000 0.7683
Np 0.5000 0.5000 0.5000
Te 0.5000 0.5000 0.0000
O 0.0000 0.5000 0.5000
O 0.5000 0.0000 0.5000
! ΔE_f (raw) = -1.845 eV/atom
! Total magnetic moment = 3.0 μB/cell
! Space group = P4/mmm, No. 123
! Volume = 133 Å³ per cell
! Crystal system = tetragonal

[10]
! PBE K2ThNpO6, relaxed; values from VASP
&SYSTEM
  ibrav = 0, nat = 20, ntyp = 4
/
ATOMIC_SPECIES
K 39.10 K.upf
Th 232.04 Th.upf
Np 237.00 Np.upf
O 16.00 O.upf
CELL_PARAMETERS angstrom
6.2149 0.0000 0.0000
0.0000 8.7893 0.0000
0.0000 0.0000 6.2150
ATOMIC_POSITIONS crystal
K 0.2500 0.0000 0.2500
K 0.2500 0.5000 0.2500
K 0.7500 0.0000 0.7500
K 0.7500 0.5000 0.7500
Th 0.2500 0.2500 0.7497
Th 0.7500 0.7500 0.2503
Np 0.2500 0.7500 0.7504
Np 0.7500 0.2500 0.2496
O 0.0124 0.7500 0.5132
O 0.0128 0.7500 0.9880
O 0.2500 0.5126 0.7504
O 0.2500 0.9874 0.7504
O 0.4872 0.7500 0.9880
O 0.4876 0.7500 0.5132
O 0.5124 0.2500 0.4868
O 0.5128 0.2500 0.0120
O 0.7500 0.0126 0.2496
O 0.7500 0.4874 0.2496
O 0.9872 0.2500 0.0120
O 0.9876 0.2500 0.4868
! ΔE_f (raw) = -2.857 eV/atom
! Total magnetic moment = 2.0 μB/cell
! Space group = Pmmn, No. 59
! Volume = 339 Å³ per cell
! Crystal system = orthorhombic

[11]
! PBE K2ThNp3O12, relaxed; values from VASP
&SYSTEM
  ibrav = 0, nat = 18, ntyp = 4
/
ATOMIC_SPECIES
K 39.10 K.upf
Th 232.04 Th.upf
Np 237.00 Np.upf
O 16.00 O.upf
CELL_PARAMETERS angstrom
4.0144 2.3177 6.4884
-4.0144 2.3177 6.4884
0.0000 -4.6354 6.4884
ATOMIC_POSITIONS crystal
K 0.1767 0.1767 0.1767
K 0.8233 0.8233 0.8233
Th 0.5000 0.5000 0.5000
Np 0.0000 0.5000 0.5000
Np 0.5000 0.0000 0.5000
Np 0.5000 0.5000 0.0000
O 0.1555 0.5748 0.5748
O 0.1944 0.1944 0.5601
O 0.1944 0.5601 0.1944
O 0.4252 0.4252 0.8445
O 0.4252 0.8445 0.4252
O 0.4399 0.8056 0.8056
O 0.5601 0.1944 0.1944
O 0.5748 0.1555 0.5748
O 0.5748 0.5748 0.1555
O 0.8056 0.4399 0.8056
O 0.8056 0.8056 0.4399
O 0.8445 0.4252 0.4252
! ΔE_f (raw) = -2.812 eV/atom
! Total magnetic moment = 3.0 μB/cell
! Space group = R-3m, No. 166
! Volume = 362 Å³ per cell
! Crystal system = trigonal

[12]
! PBE KNpTiO5, relaxed; values from VASP
&SYSTEM
  ibrav = 0, nat = 16, ntyp = 4
/
ATOMIC_SPECIES
K 39.10 K.upf
Np 237.00 Np.upf
Ti 47.87 Ti.upf
O 16.00 O.upf
CELL_PARAMETERS angstrom
3.7548 -4.9067 0.0000
3.7548 4.9067 0.0000
-3.4187 0.0000 7.2406
ATOMIC_POSITIONS crystal
K 0.1689 0.8311 0.7500
K 0.8311 0.1689 0.2500
Np 0.5000 0.5000 0.0000
Np 0.5000 0.5000 0.5000
Ti 0.1872 0.8128 0.2500
Ti 0.8128 0.1872 0.7500
O 0.1249 0.2692 0.8961
O 0.2107 0.6187 0.3906
O 0.2692 0.1249 0.3961
O 0.3813 0.7893 0.1094
O 0.4389 0.5611 0.7500
O 0.5611 0.4389 0.2500
O 0.6187 0.2107 0.8906
O 0.7308 0.8751 0.6039
O 0.7893 0.3813 0.6094
O 0.8751 0.7308 0.1039
! ΔE_f (raw) = -2.814 eV/atom
! Total magnetic moment = 4.0 μB/cell
! Space group = C2/c, No. 15
! Volume = 267 Å³ per cell
! Crystal system = monoclinic